1.
Material: RhPb3W
Method: DFT, PBE
State: relaxed

a b c (Å): 5.230 5.230 5.230
angles (deg): 90.00 90.00 90.00
Space group Pm-3m (No. 221)
Inequivalent atoms, fractional coordinates:
Rh1 0.000 0.000 0.000 x1
Pb1 0.000 0.000 0.500 x3
W1 0.500 0.500 0.500 x1

Calculated values
total moment: 3.489 Bohr magnetons per cell
E above lowest polymorph: 0 meV per atom
crystal system: cubic
calculated formation energy: 6.087 eV per formula unit


2.
Material: Zn2Cu2Te
Method: DFT, PBE
State: relaxed

a b c (Å): 3.703 3.703 12.622
angles (deg): 90.00 90.00 90.00
Space group I4/mmm (No. 139)
Inequivalent atoms, fractional coordinates:
Zn1 0.000 0.000 0.108 x4
Cu1 0.000 0.500 0.250 x4
Te1 0.000 0.000 0.500 x2

Calculated values
total moment: 0.000 Bohr magnetons per cell
formation energy (no corrections): 0.6 eV per formula unit
E above lowest polymorph: 63 meV per atom
crystal system: tetragonal


3.
Material: Na3IrF7
Method: DFT, PBE
State: relaxed

a b c (Å): 7.881 7.675 6.057
angles (deg): 90.00 119.20 90.00
Space group Cm (No. 8)
Inequivalent atoms, fractional coordinates:
Na1 0.000 0.000 0.000 x2
Na2 0.494 0.234 0.447 x4
Ir1 0.497 0.000 0.948 x2
F1 0.005 0.000 0.358 x2
F2 0.141 0.312 0.184 x4
F3 0.152 0.500 0.766 x2
F4 0.338 0.000 0.123 x2
F5 0.355 0.193 0.718 x4

Calculated values
total moment: 2.037 Bohr magnetons per cell
formation energy (no corrections): -24.1 eV per formula unit
crystal system: monoclinic


4.
Material: LiLa3Y2Te6
Method: DFT, PBE
State: relaxed

a b c (Å): 19.447 4.467 8.917
angles (deg): 90.00 103.00 90.00
Space group C2/m (No. 12)
Inequivalent atoms, fractional coordinates:
Li1 0.000 0.000 0.000 x2
La1 0.000 0.000 0.500 x2
La2 0.166 0.500 0.833 x4
Y1 0.167 0.500 0.338 x4
Te1 0.004 0.500 0.235 x4
Te2 0.161 0.000 0.092 x4
Te3 0.169 0.000 0.577 x4

Calculated values
total moment: 0.001 Bohr magnetons per cell
formation energy (no corrections): -17.3 eV per formula unit
crystal system: monoclinic


5.
Material: SrDy2Ni
Method: DFT, PBE
State: relaxed

a b c (Å): 3.9353 3.9353 31.4379
angles (deg): 90.00 90.00 120.00
Space group R-3m (No. 166, hexagonal axes)
Inequivalent atoms, fractional coordinates:
Sr1 0.0000 0.0000 0.0000 x3
Dy1 0.0000 0.0000 0.1210 x6
Ni1 0.0000 0.0000 0.5000 x3

Calculated values
total moment: 0.000 Bohr magnetons per cell
E above lowest polymorph: 86 meV per atom
crystal system: trigonal
calculated formation energy: 0.024 eV per formula unit


6.
Material: Rb2Sr2Bi
Method: DFT, PBE
State: relaxed

a b c (Å): 8.949 8.949 7.449
angles (deg): 90.00 90.00 90.00
Space group P4/mbm (No. 127)
Inequivalent atoms, fractional coordinates:
Rb1 0.175 0.325 0.000 x4
Sr1 0.166 0.666 0.500 x4
Bi1 0.000 0.000 0.500 x2

Calculated values
total moment: 0.000 Bohr magnetons per cell
crystal system: tetragonal
calculated formation energy: -0.994 eV per formula unit


7.
Material: HgP2Ru2
Method: DFT, PBE
State: relaxed

a b c (Å): 3.666 3.666 11.778
angles (deg): 90.00 90.00 90.00
Space group I4/mmm (No. 139)
Inequivalent atoms, fractional coordinates:
Hg1 0.000 0.000 0.000 x2
P1 0.000 0.500 0.250 x4
Ru1 0.000 0.000 0.371 x4

Calculated values
total moment: 0.000 Bohr magnetons per cell
crystal system: tetragonal
calculated formation energy: -1.030 eV per formula unit


8.
Material: LiAcRhPb
Method: DFT, PBE
State: relaxed

a b c (Å): 8.346 4.823 5.625
angles (deg): 90.00 119.84 90.00
Space group Cm (No. 8)
Inequivalent atoms, fractional coordinates:
Li1 0.000 0.000 0.000 x2
Ac1 0.204 0.000 0.614 x2
Rh1 0.407 0.000 0.221 x2
Pb1 0.216 0.500 0.148 x2

Calculated values
total moment: 0.000 Bohr magnetons per cell
crystal system: monoclinic
calculated formation energy: -1.680 eV per formula unit


9.
Material: Al2Mo
Method: DFT, PBE
State: relaxed

a b c (Å): 3.248 3.248 8.785
angles (deg): 90.00 90.00 90.00
Space group I4/mmm (No. 139)
Inequivalent atoms, fractional coordinates:
Al1 0.000 0.000 0.160 x4
Mo1 0.000 0.000 0.500 x2

Calculated values
total moment: 0.000 Bohr magnetons per cell
crystal system: tetragonal
calculated formation energy: -0.331 eV per formula unit


10.
Material: DyHo2Fe
Method: DFT, PBE
State: relaxed

a b c (Å): 5.2205 5.2205 12.7253
angles (deg): 90.00 90.00 120.00
Space group R-3m (No. 166, hexagonal axes)
Inequivalent atoms, fractional coordinates:
Dy1 0.0000 0.0000 0.0000 x3
Ho1 0.0000 0.0000 0.2508 x6
Fe1 0.0000 0.0000 0.5000 x3

Calculated values
total moment: 5.247 Bohr magnetons per cell
E above lowest polymorph: 395 meV per atom
crystal system: trigonal
calculated formation energy: 1.502 eV per formula unit


11.
Material: PmPr2Nd4Th
Method: DFT, PBE
State: relaxed

a b c (Å): 6.365 3.670 12.186
angles (deg): 90.00 100.11 90.00
Space group P2/m (No. 10)
Inequivalent atoms, fractional coordinates:
Pm1 0.000 0.000 0.000 x1
Pr1 0.500 0.000 0.500 x1
Pr2 0.500 0.500 0.000 x1
Nd1 0.242 0.000 0.744 x2
Nd2 0.246 0.500 0.252 x2
Th1 0.000 0.500 0.500 x1

Calculated values
total moment: 0.000 Bohr magnetons per cell
crystal system: monoclinic
calculated formation energy: 0.262 eV per formula unit


12.
Material: Ba3ZnPb2
Method: DFT, PBE
State: relaxed

a b c (Å): 14.009 5.057 13.746
angles (deg): 90.00 90.00 90.00
Space group Pnma (No. 62)
Inequivalent atoms, fractional coordinates:
Ba1 0.058 0.250 0.124 x4
Ba2 0.123 0.750 0.561 x4
Ba3 0.210 0.250 0.806 x4
Zn1 0.129 0.250 0.377 x4
Pb1 0.029 0.750 0.317 x4
Pb2 0.195 0.750 0.991 x4

Calculated values
total moment: 0.000 Bohr magnetons per cell
crystal system: orthorhombic
calculated formation energy: -2.776 eV per formula unit


13.
Material: TaZn2Ru
Method: DFT, PBE
State: relaxed

a b c (Å): 6.172 6.172 6.172
angles (deg): 90.00 90.00 90.00
Space group Fm-3m (No. 225)
Inequivalent atoms, fractional coordinates:
Ta1 0.000 0.000 0.000 x4
Zn1 0.250 0.250 0.250 x8
Ru1 0.000 0.000 0.500 x4

Calculated values
total moment: 0.000 Bohr magnetons per cell
E above lowest polymorph: 192 meV per atom
crystal system: cubic
calculated formation energy: 0.310 eV per formula unit


14.
Material: Sm3TmSn2
Method: DFT, PBE
State: relaxed

a b c (Å): 6.493 17.218 6.476
angles (deg): 90.00 90.00 90.00
Space group Ibam (No. 72)
Inequivalent atoms, fractional coordinates:
Sm1 0.000 0.000 0.250 x4
Sm2 0.248 0.174 0.000 x8
Tm1 0.000 0.500 0.250 x4
Sn1 0.245 0.362 0.000 x8

Calculated values
total moment: 0.000 Bohr magnetons per cell
crystal system: orthorhombic
calculated formation energy: -3.474 eV per formula unit


15.
Material: KGaGe
Method: DFT, PBE
State: relaxed

a b c (Å): 4.271 11.598 7.441
angles (deg): 90.00 90.00 90.00
Space group Cmc2_1 (No. 36)
Inequivalent atoms, fractional coordinates:
K1 0.000 0.021 0.000 x4
Ga1 0.000 0.254 0.336 x4
Ge1 0.000 0.264 0.673 x4

Calculated values
total moment: 0.000 Bohr magnetons per cell
crystal system: orthorhombic
calculated formation energy: -0.430 eV per formula unit


16.
Material: Cs2TcBI6
Method: DFT, PBE
State: relaxed

a b c (Å): 8.111 8.111 11.493
angles (deg): 90.00 90.00 90.00
Space group I4/mmm (No. 139)
Inequivalent atoms, fractional coordinates:
Cs1 0.000 0.500 0.250 x4
Tc1 0.000 0.000 0.000 x2
B1 0.000 0.000 0.500 x2
I1 0.000 0.000 0.249 x4
I2 0.248 0.248 0.000 x8

Calculated values
total moment: 7.516 Bohr magnetons per cell
formation energy (no corrections): -2.6 eV per formula unit
crystal system: tetragonal


17.
Material: SrOsRu2
Method: DFT, PBE
State: relaxed

a b c (Å): 7.491 7.491 6.000
angles (deg): 90.00 90.00 90.00
Space group I-42d (No. 122)
Inequivalent atoms, fractional coordinates:
Sr1 0.000 0.000 0.000 x4
Os1 0.000 0.000 0.500 x4
Ru1 0.177 0.250 0.625 x8

Calculated values
total moment: 0.000 Bohr magnetons per cell
E above lowest polymorph: 285 meV per atom
crystal system: tetragonal
calculated formation energy: 3.302 eV per formula unit


18.
Material: MnTeI2
Method: DFT, PBE
State: relaxed

a b c (Å): 7.772 7.772 7.772
angles (deg): 90.00 90.00 90.00
Space group Fm-3m (No. 225)
Inequivalent atoms, fractional coordinates:
Mn1 0.000 0.000 0.000 x4
Te1 0.000 0.000 0.500 x4
I1 0.250 0.250 0.250 x8

Calculated values
total moment: 13.728 Bohr magnetons per cell
formation energy (no corrections): 2.2 eV per formula unit
E above lowest polymorph: 513 meV per atom
crystal system: cubic


19.
Material: PrFeNi
Method: DFT, PBE
State: relaxed

a b c (Å): 3.854 3.854 15.461
angles (deg): 90.00 90.00 90.00
Space group I4/mmm (No. 139)
Inequivalent atoms, fractional coordinates:
Pr1 0.000 0.000 0.162 x4
Fe1 0.000 0.500 0.000 x4
Ni1 0.000 0.000 0.399 x4

Calculated values
total moment: 11.082 Bohr magnetons per cell
crystal system: tetragonal
calculated formation energy: -0.058 eV per formula unit


20.
Material: NaCa3ScZn3Si8O24
Method: DFT, PBE
State: relaxed

a b c (Å): 5.347 18.184 9.888
angles (deg): 90.00 104.80 90.00
Space group P2/c (No. 13)
Inequivalent atoms, fractional coordinates:
Na1 0.000 0.027 0.250 x2
Ca1 0.000 0.477 0.750 x2
Ca2 0.500 0.227 0.250 x2
Ca3 0.500 0.274 0.750 x2
Sc1 0.500 0.073 0.750 x2
Zn1 0.000 0.174 0.750 x2
Zn2 0.000 0.327 0.250 x2
Zn3 0.500 0.423 0.250 x2
Si1 0.196 0.329 0.963 x4
Si2 0.200 0.171 0.461 x4
Si3 0.299 0.081 0.038 x4
Si4 0.304 0.421 0.536 x4
O1 0.093 0.134 0.098 x4
O2 0.099 0.367 0.599 x4
O3 0.210 0.252 0.887 x4
O4 0.212 0.250 0.391 x4
O5 0.222 0.420 0.366 x4
O6 0.224 0.083 0.868 x4
O7 0.278 0.331 0.133 x4
O8 0.284 0.168 0.632 x4
O9 0.288 0.499 0.611 x4
O10 0.299 0.002 0.111 x4
O11 0.402 0.383 0.901 x4
O12 0.412 0.121 0.400 x4

Calculated values
total moment: 0.000 Bohr magnetons per cell
formation energy (no corrections): -107.4 eV per formula unit
crystal system: monoclinic